Entry 1:
Si2TeW: optimized geometry, GGA-PBEsol.

spin magnetization	0.000	μB per formula unit
E_form (uncorrected)	779.8	meV/atom

Cell: 3.1592 4.4221 4.8645 Å, 90.00 90.00 90.00°
Fractional coordinates of all 4 atoms:
Si: 0.0000 0.0000 0.0000
Si: 0.5000 0.0000 0.5000
Te: 0.0000 0.5000 0.5000
W: 0.5000 0.5000 0.0000


Entry 2:
YSi2Te: optimized geometry, GGA-PBEsol.

spin magnetization	0.000	μB per formula unit
E_form (uncorrected)	-432.1	meV/atom

Cell: 4.0932 3.9414 5.8383 Å, 90.00 108.06 90.00°
Fractional coordinates of all 4 atoms:
Y: 0.0000 0.0000 0.0000
Si: 0.5435 0.5000 0.2444
Si: 0.7767 0.0000 0.4481
Te: 0.4138 0.5000 0.7750


Entry 3:
YSi2Te: optimized geometry, GGA-PBEsol.

spin magnetization	0.000	μB per formula unit
E_form (uncorrected)	-278.1	meV/atom

Cell: 4.1240 3.8477 6.0138 Å, 90.00 108.75 90.00°
Fractional coordinates of all 4 atoms:
Y: 0.0000 0.0000 0.0000
Si: 0.3565 0.5000 0.7985
Si: 0.6435 0.5000 0.2015
Te: 0.5000 0.0000 0.5000


Entry 4:
ZnSiTe: optimized geometry, GGA-PBEsol.

spin magnetization	0.000	μB per formula unit
E_form (uncorrected)	462.8	meV/atom

Cell: 3.1174 3.1174 7.2831 Å, 90.00 90.00 120.00°
Fractional coordinates of all 3 atoms:
Zn: 0.0000 0.0000 0.0000
Si: 0.3333 0.6667 0.7394
Te: 0.6667 0.3333 0.3321


Entry 5:
ZnSi2Te: optimized geometry, GGA-PBEsol.

spin magnetization	0.000	μB per formula unit
E_form (uncorrected)	446.2	meV/atom

Cell: 6.0294 6.0294 6.0294 Å, 143.63 143.63 52.38°
Fractional coordinates of all 4 atoms:
Zn: 0.0000 0.0000 0.0000
Si: 0.2500 0.7500 0.5000
Si: 0.7500 0.2500 0.5000
Te: 0.5000 0.5000 0.0000


Entry 6:
Zn3SiTe: optimized geometry, GGA-PBEsol.

spin magnetization	0.003	μB per formula unit
E_form (uncorrected)	1042.6	meV/atom

Cell: 5.0777 5.0777 5.0777 Å, 90.00 90.00 90.00°
Fractional coordinates of all 5 atoms:
Zn: 0.0000 0.0000 0.5000
Zn: 0.0000 0.5000 0.0000
Zn: 0.5000 0.0000 0.0000
Si: 0.5000 0.5000 0.5000
Te: 0.0000 0.0000 0.0000